1.
{
  "formula": "K4ZrPt",
  "functional": "PBE-GGA",
  "state": "relaxed",
  "lattice": [[0.000, 4.746, 4.746], [4.746, 0.000, 4.746], [4.746, 4.746, 0.000]],
  "species": ["K", "K", "K", "K", "Zr", "Pt"],
  "frac_coords": [[0.123, 0.123, 0.123], [0.123, 0.123, 0.631], [0.123, 0.631, 0.123], [0.631, 0.123, 0.123], [0.500, 0.500, 0.500], [0.750, 0.750, 0.750]]
}

***

2.
{
  "formula": "Na2Cd5Pb",
  "functional": "PBE-GGA",
  "state": "relaxed",
  "lattice": [[-3.383, 3.383, 4.377], [3.383, -3.383, 4.377], [3.383, 3.383, -4.377]],
  "species": ["Na", "Na", "Cd", "Cd", "Cd", "Cd", "Cd", "Pb"],
  "frac_coords": [[0.000, 0.500, 0.500], [0.500, 0.000, 0.500], [0.018, 0.018, 0.000], [0.513, 0.513, 0.526], [0.513, 0.987, 0.000], [0.987, 0.513, 0.000], [0.987, 0.987, 0.474], [0.478, 0.478, 0.000]]
}

***

Spin magnetization values (in μB per formula unit) by entry order: 3.65, 0.00.
Energy relative to the elements values (in eV per formula unit) by entry order: 6.205, -0.469.